[1]
Computed, not measured: an optimized crystal structure of TbDy3ErTm at the GGA-PBE level of DFT.

a b c (Å): 4.9799 7.8788 9.9576
angles (deg): 90.00 90.00 108.42
Fractional positions:
Er 0.8338 0.6676 0.7500
Dy 0.8334 0.6668 0.2500
Dy 0.6667 0.3334 0.0000
Tb 0.0000 0.0000 0.0000
Tb 0.0000 0.0000 0.5000
Tm 0.4998 0.9996 0.7500
Dy 0.3333 0.6666 0.0000
Dy 0.6667 0.3334 0.5000
Dy 0.1666 0.3332 0.7500
Tm 0.5002 0.0004 0.2500
Er 0.1662 0.3324 0.2500
Dy 0.3333 0.6666 0.5000

**VASP energy**: -4.56 eV per atom
**Fermi-level density of states**: 1.304 states/eV/atom
**ΔE_f**: 0.02 eV per atom
**ρ**: 8.804 g/cm3
**Crystal system**: orthorhombic
**Magnetization**: 0.00 μB per cell

[2]
Computed, not measured: an optimized crystal structure of Sm8Te4Ir3S at the GGA-PBE level of DFT.

a b c (Å): 8.4343 8.8240 8.4343
angles (deg): 118.55 120.00 90.00
Fractional positions:
Sm 0.2729 0.2898 0.0313
Sm 0.2416 0.7102 0.9687
Te 0.5000 0.0000 0.5000
Te 0.0000 0.0000 0.5000
Sm 0.7584 0.2898 0.5168
Sm 0.7584 0.2898 0.0313
S 0.0000 0.5000 0.0000
Sm 0.7271 0.7102 0.9687
Sm 0.2416 0.7102 0.4832
Ir 0.5000 0.5000 0.5000
Ir 0.5000 0.5000 0.0000
Ir 0.0000 0.5000 0.5000
Sm 0.7361 0.7083 0.4722
Te 0.0000 0.0000 0.0000
Te 0.5000 0.0000 0.0000
Sm 0.2639 0.2917 0.5278

**VASP energy**: -6.27 eV per atom
**Fermi-level density of states**: 0.625 states/eV/atom
**ρ**: 8.505 g/cm3
**Formation energy from raw total energies**: -1203 meV per atom
**Crystal system**: trigonal
**Magnetization**: 0.00 μB per cell

[3]
Computed, not measured: an optimized crystal structure of PmPr4Sm2Ho2 at the GGA-PBE level of DFT.

a b c (Å): 5.1604 8.1620 8.1371
angles (deg): 107.50 90.00 108.43
Fractional positions:
Pr 0.7774 0.5548 0.6699
Pr 0.2226 0.4452 0.3301
Ho 0.3322 0.6643 0.0007
Pm 0.0000 0.0000 0.0000
Sm 0.8883 0.7767 0.3306
Pr 0.5544 0.1088 0.3310
Ho 0.6678 0.3357 0.9993
Sm 0.1117 0.2233 0.6694
Pr 0.4456 0.8912 0.6690

**VASP energy**: -4.70 eV per atom
**Fermi-level density of states**: 1.569 states/eV/atom
**ΔE_f**: 0.02 eV per atom
**ρ**: 7.211 g/cm3
**Crystal system**: monoclinic
**Magnetization**: 0.00 μB per cell

[4]
Computed, not measured: an optimized crystal structure of Rb2PmCu2O4 at the GGA-PBE level of DFT.

a b c (Å): 3.5526 6.6784 7.0597
angles (deg): 106.67 104.57 90.00
Fractional positions:
O 0.4661 0.2051 0.9323
Cu 0.3202 0.9764 0.6404
Rb 0.8692 0.4424 0.7383
O 0.5339 0.7949 0.0677
Cu 0.6798 0.0236 0.3596
Rb 0.1308 0.5576 0.2617
O 0.8101 0.8488 0.6202
O 0.1899 0.1512 0.3798
Pm 0.0000 0.0000 0.0000

**VASP energy**: -5.31 eV per atom
**Fermi-level density of states**: 0.439 states/eV/atom
**ρ**: 5.438 g/cm3
**Formation energy from raw total energies**: -1454 meV per atom
**Crystal system**: monoclinic
**Magnetization**: 1.02 μB per cell

[5]
Computed, not measured: an optimized crystal structure of Pr2Sm5Tm3 at the GGA-PBE level of DFT.

a b c (Å): 6.8414 12.4081 12.4081
angles (deg): 44.78 74.00 74.00
Fractional positions:
Sm 0.2500 0.5000 0.5000
Pr 0.3774 0.0205 0.2246
Sm 0.4990 0.7510 0.7510
Tm 0.2500 0.0000 0.0000
Tm 0.6202 0.6318 0.1277
Tm 0.8798 0.8723 0.3682
Sm 0.1258 0.4658 0.2825
Tm 0.1202 0.1277 0.6318
Sm 0.7500 0.5000 0.5000
Tm 0.3798 0.3682 0.8723
Sm 0.9990 0.7510 0.7510
Tm 0.7500 0.0000 0.0000
Sm 0.0010 0.2490 0.2490
Sm 0.3742 0.7175 0.5342
Sm 0.8742 0.5342 0.7175
Pr 0.1226 0.7754 0.9795
Sm 0.5010 0.2490 0.2490
Pr 0.8774 0.2246 0.0205
Pr 0.6226 0.9795 0.7754
Sm 0.6258 0.2825 0.4658

**VASP energy**: -4.27 eV per atom
**Fermi-level density of states**: 1.398 states/eV/atom
**ΔE_f**: 0.39 eV per atom
**ΔE to the lowest computed polymorph**: 198 meV per atom
**ρ**: 7.224 g/cm3
**Crystal system**: orthorhombic
**Magnetization**: 0.00 μB per cell

[6]
Computed, not measured: an optimized crystal structure of LaNbV2 at the GGA-PBE level of DFT.

a b c (Å): 4.7672 4.7672 4.7672
angles (deg): 60.00 60.00 60.00
Fractional positions:
La 0.5000 0.5000 0.5000
V 0.2500 0.2500 0.2500
Nb 0.0000 0.0000 0.0000
V 0.7500 0.7500 0.7500

**VASP energy**: -7.79 eV per atom
**Fermi-level density of states**: 1.631 states/eV/atom
**ΔE_f**: 0.52 eV per atom
**ΔE to the lowest computed polymorph**: 0 meV per atom
**ρ**: 7.233 g/cm3
**Crystal system**: cubic
**Magnetization**: 2.71 μB per cell